1.
DFT (GGA-PBEsol) results for AgAs2W after structural relaxation.

Cell: 3.526 3.526 5.367 Å, 90.00 90.00 90.00°
Fractional coordinates of all 4 atoms:
1 Ag 0.000 0.000 0.000
2 As 0.000 0.000 0.514
3 As 0.500 0.500 0.154
4 W 0.500 0.500 0.678

Output
formation energy	0.35	eV/atom
E above lowest polymorph	225	meV/atom
calculated volume	16.68	Å³ per atom
space-group type	P4mm (99)

=====

2.
DFT (GGA-PBEsol) results for AgAs2W after structural relaxation.

Cell: 3.108 3.108 24.566 Å, 90.00 90.00 120.00°
Fractional coordinates of all 12 atoms:
1 Ag 0.000 0.000 0.000
2 Ag 0.333 0.667 0.667
3 Ag 0.667 0.333 0.333
4 As 0.000 0.000 0.242
5 As 0.000 0.000 0.758
6 As 0.333 0.667 0.425
7 As 0.333 0.667 0.908
8 As 0.667 0.333 0.092
9 As 0.667 0.333 0.575
10 W 0.000 0.000 0.500
11 W 0.333 0.667 0.167
12 W 0.667 0.333 0.833

Output
formation energy	0.12	eV/atom
E above lowest polymorph	0	meV/atom
calculated volume	17.13	Å³ per atom
space-group type	R-3m (166)

=====

Number 1: energy -6.49 eV/atom. Number 2: energy -6.71 eV/atom.